[1]
K2AsCl5 | PBE | relaxed

Results
- raw formation energy (eV/atom) = -1.328
- crystal system = monoclinic
- space group = Cm (8)
- E_tot (eV/atom) = -3.338

abc: 6.9027 6.9014 6.9002
angles: 113.83 113.83 101.08
Atoms (fractional coordinates):
K 0.7538 0.2544 0.5001
K 0.2527 0.7538 0.4985
As 0.9992 0.9992 0.0001
Cl 0.2421 0.7713 0.9998
Cl 0.2418 0.2421 0.4711
Cl 0.7692 0.7696 0.5291
Cl 0.7692 0.2399 0.9998
Cl 0.7490 0.7468 0.0016

=====

[2]
K3AsCl6 | PBE | relaxed

Results
- raw formation energy (eV/atom) = -1.460
- crystal system = monoclinic
- space group = P2_1/c (14)
- E_tot (eV/atom) = -3.362

abc: 7.4022 7.8169 10.6496
angles: 90.00 90.24 90.00
Atoms (fractional coordinates):
K 0.5261 0.9265 0.7508
K 0.5000 0.5000 0.0000
K 0.4739 0.0735 0.2492
K 0.0261 0.5735 0.2508
K 0.0000 0.0000 0.5000
K 0.9739 0.4265 0.7492
As 0.5000 0.5000 0.5000
As 0.0000 0.0000 0.0000
Cl 0.7242 0.1747 0.9449
Cl 0.6636 0.2293 0.5672
Cl 0.6170 0.4564 0.2794
Cl 0.3830 0.5436 0.7206
Cl 0.3364 0.7707 0.4328
Cl 0.2758 0.8253 0.0551
Cl 0.2242 0.3253 0.4449
Cl 0.1636 0.2707 0.0672
Cl 0.1170 0.0436 0.7794
Cl 0.8830 0.9564 0.2206
Cl 0.8364 0.7293 0.9328
Cl 0.7758 0.6747 0.5551

=====

Which value of E_tot does entry 1 give?
-3.338 eV/atom